Record 1
Crystalline ZrW2CBr at its relaxed geometry. Source: Alexandria via LeMat-Bulk, functional PBE.

abc: 4.144 4.144 4.879
angles: 90.00 90.00 90.00
Positions (direct):
W (0.000, 0.500, 0.000)
W (0.500, 0.000, 0.000)
Zr (0.000, 0.000, 0.500)
C (0.000, 0.000, 0.000)
Br (0.500, 0.500, 0.500)

Values from the calculation:
**Total energy**: -8.480 eV/atom
**Energy relative to the elements, uncorrected**: 0.59 eV/atom
**Total magnetic moment**: 0.00 μB per cell


Record 2
Crystalline TiGe3P at its relaxed geometry. Source: Alexandria via LeMat-Bulk, functional PBE.

abc: 4.906 4.906 4.906
angles: 90.00 90.00 90.00
Positions (direct):
Ge (0.500, 0.000, 0.000)
Ge (0.000, 0.500, 0.000)
Ge (0.000, 0.000, 0.500)
Ti (0.000, 0.000, 0.000)
P (0.500, 0.500, 0.500)

Values from the calculation:
**Total energy**: -4.708 eV/atom
**Total magnetic moment**: 0.00 μB per cell
**Polymorph energy (0 for the lowest one)**: 0 meV/atom
**E_form**: 0.7229 eV per atom


Record 3
Crystalline Pa2InO at its relaxed geometry. Source: Alexandria via LeMat-Bulk, functional PBE.

abc: 3.098 3.098 8.165
angles: 90.00 90.00 90.00
Positions (direct):
Pa (0.000, 0.000, 0.805)
Pa (0.000, 0.000, 0.195)
O (0.500, 0.500, 0.000)
In (0.500, 0.500, 0.500)

Values from the calculation:
**Total energy**: -7.391 eV/atom
**Energy relative to the elements, uncorrected**: -0.72 eV/atom
**Total magnetic moment**: 1.01 μB per cell
**Polymorph energy (0 for the lowest one)**: 469 meV/atom


Record 4
Crystalline Ga2Cu2Pb at its relaxed geometry. Source: Alexandria via LeMat-Bulk, functional PBE.

abc: 3.899 3.899 6.525
angles: 72.61 72.61 90.00
Positions (direct):
Pb (0.000, 0.000, 0.000)
Ga (0.750, 0.250, 0.500)
Ga (0.250, 0.750, 0.500)
Cu (0.608, 0.608, 0.784)
Cu (0.392, 0.392, 0.216)

Values from the calculation:
**Total energy**: -3.546 eV/atom
**Total magnetic moment**: 0.00 μB per cell
**Polymorph energy (0 for the lowest one)**: 0 meV/atom
**E_form**: 0.0446 eV per atom


Record 5
Crystalline Er8Ga3Te4P at its relaxed geometry. Source: Alexandria via LeMat-Bulk, functional PBE.

abc: 8.271 8.620 8.270
angles: 118.66 120.00 90.00
Positions (direct):
Ga (0.500, 0.500, 0.500)
Ga (0.000, 0.500, 0.500)
Ga (0.500, 0.500, 0.000)
Te (0.000, 0.000, 0.000)
Te (0.000, 0.000, 0.500)
Te (0.500, 0.000, 0.500)
Te (0.500, 0.000, 0.000)
Er (0.746, 0.721, 0.984)
Er (0.762, 0.279, 0.016)
Er (0.256, 0.267, 0.511)
Er (0.254, 0.279, 0.016)
Er (0.238, 0.721, 0.984)
Er (0.238, 0.721, 0.476)
Er (0.762, 0.279, 0.524)
Er (0.744, 0.733, 0.489)
P (0.000, 0.500, 0.000)

Values from the calculation:
**Total energy**: -5.016 eV/atom
**Energy relative to the elements, uncorrected**: -1.04 eV/atom
**Total magnetic moment**: 0.00 μB per cell


Record 6
Crystalline Pr2SiPd at its relaxed geometry. Source: Alexandria via LeMat-Bulk, functional PBE.

abc: 3.592 3.592 7.576
angles: 90.00 90.00 90.00
Positions (direct):
Pd (0.500, 0.500, 0.000)
Pr (0.000, 0.000, 0.250)
Pr (0.000, 0.000, 0.750)
Si (0.500, 0.500, 0.500)

Values from the calculation:
**Total energy**: -5.626 eV/atom
**Energy relative to the elements, uncorrected**: -0.58 eV/atom
**Total magnetic moment**: 0.00 μB per cell


Q: Which value of total magnetic moment does entry 6 give?
A: 0.00 μB per cell


Q: Which of these has the highest total magnetic moment?
A: Pa2InO


Q: total magnetic moment of number 4 (Ga2Cu2Pb)?
A: 0.00 μB per cell